This record from Alexandria via LeMat-Bulk describes Ge2P2Pb after structural relaxation. The functional is GGA-PBE.

size of the total moment: 0.0 μB per formula unit
crystal system: tetragonal
formation enthalpy at 0 K: 0.34 eV/atom
space-group type: P4/mbm
ΔE to the lowest computed polymorph: 21 meV/atom
ρ: 6.57 g cm⁻³

The structure in POSCAR format:
```
Ge2P2Pb
1.0
7.8494 0.0000 0.0000
0.0000 7.8494 0.0000
0.0000 0.0000 3.4009
Ge P Pb
4 4 2
Cartesian
1.0281 2.8967 0.0000
2.8967 6.8214 0.0000
4.9528 1.0281 0.0000
6.8214 4.9528 0.0000
1.0847 5.0094 1.7004
2.8400 1.0847 1.7004
5.0094 6.7647 1.7004
6.7647 2.8400 1.7004
0.0000 0.0000 1.7004
3.9247 3.9247 1.7004
```


This record from Alexandria via LeMat-Bulk describes YCoB2 after structural relaxation. The functional is GGA-PBE.

size of the total moment: 0.0 μB per formula unit
crystal system: orthorhombic
formation enthalpy at 0 K: -0.23 eV/atom
space-group type: Pnma
ΔE to the lowest computed polymorph: 286 meV/atom
ρ: 5.94 g cm⁻³

The structure in POSCAR format:
```
YCoB2
1.0
5.8668 0.0000 0.0000
0.0000 3.1714 0.0000
0.0000 0.0000 10.1795
Y Co B
4 4 8
Cartesian
1.4073 0.7929 2.0683
1.5261 2.3786 7.1580
4.3407 0.7929 3.0215
4.4595 2.3786 8.1113
0.5336 2.3786 4.3439
2.3998 0.7929 9.4337
3.4669 2.3786 0.7458
5.3332 0.7929 5.8356
0.3459 0.7929 9.6437
1.3267 2.3786 10.0772
1.6067 0.7929 4.9874
2.5875 2.3786 4.5540
3.2793 0.7929 5.6256
4.2601 2.3786 5.1921
4.5401 0.7929 0.1023
5.5209 2.3786 0.5358
```


This record from Alexandria via LeMat-Bulk describes Pu2CuSb after structural relaxation. The functional is GGA-PBE.

size of the total moment: 11.8 μB per formula unit
E_form (uncorrected): -0.2528 eV/atom
crystal system: tetragonal
space-group type: P4/mmm
ΔE to the lowest computed polymorph: 0 meV/atom
ρ: 12.03 g cm⁻³

The structure in POSCAR format:
```
Pu2CuSb
1.0
4.0405 0.0000 0.0000
0.0000 4.0405 0.0000
0.0000 0.0000 5.6917
Pu Cu Sb
2 1 1
Cartesian
0.0000 0.0000 1.4104
0.0000 0.0000 4.2814
2.0203 2.0203 0.0000
2.0203 2.0203 2.8459
```


This record from Alexandria via LeMat-Bulk describes PbBr after structural relaxation. The functional is GGA-PBE.

size of the total moment: 0.0 μB per formula unit
E_form (uncorrected): -0.4079 eV/atom
crystal system: orthorhombic
space-group type: Fddd
ρ: 6.60 g cm⁻³

The structure in POSCAR format:
```
PbBr
1.0
0.0000 6.0195 7.8162
3.0714 0.0000 7.8162
3.0714 6.0195 0.0000
Pb Br
4 4
Cartesian
0.7678 1.5049 0.1888
0.7678 1.5049 3.7193
5.3749 10.5341 11.9131
5.3749 10.5341 15.4435
2.3035 2.7247 5.8621
3.8392 5.7344 9.7702
2.3035 6.3045 5.8621
3.8392 9.3142 9.7702
```


This record from Alexandria via LeMat-Bulk describes LiY2Al3Au4 after structural relaxation. The functional is GGA-PBE.

size of the total moment: 0.0 μB per formula unit
crystal system: tetragonal
formation enthalpy at 0 K: -0.67 eV/atom
space-group type: P-4m2
ρ: 8.80 g cm⁻³

The structure in POSCAR format:
```
LiY2Al3Au4
1.0
4.3553 0.0000 0.0000
0.0000 4.3553 0.0000
0.0000 0.0000 10.4864
Li Y Al Au
1 2 3 4
Cartesian
0.0000 0.0000 0.0000
0.0000 2.1777 7.7995
2.1777 0.0000 2.6869
0.0000 2.1777 3.8501
2.1777 0.0000 6.6363
2.1777 2.1777 0.0000
0.0000 0.0000 5.2432
0.0000 2.1777 1.3794
2.1777 0.0000 9.1070
2.1777 2.1777 5.2432
```


This record from Alexandria via LeMat-Bulk describes RbZrBe2 after structural relaxation. The functional is GGA-PBE.

size of the total moment: 0.8 μB per formula unit
crystal system: tetragonal
formation enthalpy at 0 K: 1.36 eV/atom
space-group type: I-42d
ΔE to the lowest computed polymorph: 97 meV/atom
ρ: 3.14 g cm⁻³

The structure in POSCAR format:
```
RbZrBe2
1.0
7.7058 0.0000 0.0000
0.0000 7.7058 0.0000
0.0000 0.0000 6.9294
Rb Zr Be
4 4 8
Cartesian
0.0000 0.0000 0.0000
0.0000 3.8529 1.7323
3.8529 0.0000 5.1970
3.8529 3.8529 3.4647
0.0000 0.0000 3.4647
0.0000 3.8529 5.1970
3.8529 0.0000 1.7323
3.8529 3.8529 0.0000
1.4684 1.9265 4.3309
1.9265 5.3213 6.0632
1.9265 6.2374 2.5985
2.3845 1.9265 0.8662
5.3213 5.7794 0.8662
5.7794 1.4684 2.5985
5.7794 2.3845 6.0632
6.2374 5.7794 4.3309
```